(1)
This record from Alexandria describes an optimized crystal structure of NpAsSe. The functional is GGA-PBE.

Calculated values
Symmetry ... I4mm, No. 107
Spin magnetization ... 7.7 μB per cell

abc: 3.797 3.797 9.291
angles: 90.00 90.00 90.00
Atoms (fractional coordinates):
Np (0.000, 0.000, 0.000)
Np (0.500, 0.500, 0.500)
As (0.000, 0.000, 0.636)
As (0.500, 0.500, 0.136)
Se (0.000, 0.000, 0.351)
Se (0.500, 0.500, 0.851)

=====

(2)
This record from Alexandria describes an optimized crystal structure of Np4AsSe3. The functional is GGA-PBE.

Calculated values
Symmetry ... Cmmm, No. 65
Spin magnetization ... 0.2 μB per cell

abc: 8.171 11.631 4.100
angles: 90.00 90.00 90.00
Atoms (fractional coordinates):
Np (0.000, 0.248, 0.000)
Np (0.000, 0.752, 0.000)
Np (0.249, 0.000, 0.500)
Np (0.251, 0.500, 0.500)
Np (0.500, 0.252, 0.000)
Np (0.500, 0.748, 0.000)
Np (0.749, 0.500, 0.500)
Np (0.751, 0.000, 0.500)
As (0.000, 0.000, 0.000)
As (0.500, 0.500, 0.000)
Se (0.000, 0.500, 0.000)
Se (0.250, 0.250, 0.500)
Se (0.250, 0.750, 0.500)
Se (0.500, 0.000, 0.000)
Se (0.750, 0.250, 0.500)
Se (0.750, 0.750, 0.500)

=====

(3)
This record from Alexandria describes an optimized crystal structure of NpAsSe. The functional is GGA-PBE.

Calculated values
Symmetry ... P4/nmm, No. 129
Spin magnetization ... 7.4 μB per cell

abc: 3.970 3.970 8.396
angles: 90.00 90.00 90.00
Atoms (fractional coordinates):
Np (0.250, 0.250, 0.223)
Np (0.750, 0.750, 0.777)
As (0.250, 0.750, 0.500)
As (0.750, 0.250, 0.500)
Se (0.250, 0.250, 0.864)
Se (0.750, 0.750, 0.136)

=====

(4)
This record from Alexandria describes an optimized crystal structure of Np4Te2AsSe. The functional is GGA-PBE.

Calculated values
Symmetry ... P2/m, No. 10
Spin magnetization ... 17.7 μB per cell

abc: 7.333 4.251 7.408
angles: 90.00 109.43 90.00
Atoms (fractional coordinates):
Np (0.239, 0.000, 0.225)
Np (0.256, 0.500, 0.774)
Np (0.744, 0.500, 0.226)
Np (0.761, 0.000, 0.775)
Te (0.000, 0.000, 0.500)
Te (0.500, 0.500, 0.500)
As (0.000, 0.500, 0.000)
Se (0.500, 0.000, 0.000)

=====

(5)
This record from Alexandria describes an optimized crystal structure of NpTl2AsSe4. The functional is GGA-PBE.

Calculated values
Symmetry ... Imma, No. 74
Spin magnetization ... 7.8 μB per cell

abc: 8.620 8.620 8.620
angles: 120.04 119.89 90.06
Atoms (fractional coordinates):
Np (0.000, 0.000, 0.000)
Np (0.500, 0.000, 0.500)
Tl (0.000, 0.500, 0.500)
Tl (0.500, 0.000, 0.000)
Tl (0.500, 0.500, 0.000)
Tl (0.500, 0.500, 0.500)
As (0.000, 0.000, 0.500)
As (0.000, 0.500, 0.000)
Se (0.198, 0.238, 0.961)
Se (0.223, 0.762, 0.461)
Se (0.229, 0.201, 0.472)
Se (0.229, 0.757, 0.028)
Se (0.771, 0.243, 0.972)
Se (0.771, 0.799, 0.528)
Se (0.777, 0.238, 0.539)
Se (0.802, 0.762, 0.039)

=====

(6)
This record from Alexandria describes an optimized crystal structure of NpUAsSe. The functional is GGA-PBE.

Calculated values
Symmetry ... P4/mmm, No. 123
Spin magnetization ... 6.9 μB per cell

abc: 4.095 4.095 5.788
angles: 90.00 90.00 90.00
Atoms (fractional coordinates):
Np (0.000, 0.000, 0.000)
U (0.500, 0.500, 0.500)
As (0.000, 0.000, 0.500)
Se (0.500, 0.500, 0.000)

=====

(7)
This record from Alexandria describes an optimized crystal structure of NpSiAs. The functional is GGA-PBE.

Calculated values
Symmetry ... Cmcm, No. 63
Spin magnetization ... 14.8 μB per cell

abc: 4.010 15.793 3.836
angles: 90.00 90.00 90.00
Atoms (fractional coordinates):
Np (0.000, 0.105, 0.250)
Np (0.000, 0.895, 0.750)
Np (0.500, 0.395, 0.750)
Np (0.500, 0.605, 0.250)
Si (0.000, 0.455, 0.250)
Si (0.000, 0.545, 0.750)
Si (0.500, 0.045, 0.750)
Si (0.500, 0.955, 0.250)
As (0.000, 0.251, 0.750)
As (0.000, 0.749, 0.250)
As (0.500, 0.249, 0.250)
As (0.500, 0.751, 0.750)

=====

(8)
This record from Alexandria describes an optimized crystal structure of NpSiAs. The functional is GGA-PBE.

Calculated values
Symmetry ... P-6m2, No. 187
Spin magnetization ... 3.6 μB per cell

abc: 4.789 4.789 2.823
angles: 90.00 90.00 120.00
Atoms (fractional coordinates):
Np (0.000, 0.000, 0.000)
Si (0.667, 0.333, 0.500)
As (0.333, 0.667, 0.500)

=====

Uncorrected formation energy readings, ordered: -570; -947; -956; -731; -508; -889; -349; -31 meV per atom